No. 1
# Cs5Hg2Au5 | Alexandria | PBE | relaxed
# - Total moment: 0.00 μB/atom
# - Formation energy from the elements: -3.5 eV/f.u.
# - ρ: 7.06 Mg/m³
# - Crystal system: monoclinic
data_Cs5Hg2Au5
_cell_length_a 18.0874
_cell_length_b 4.8509
_cell_length_c 13.6351
_cell_angle_alpha 90.00
_cell_angle_beta 126.31
_cell_angle_gamma 90.00
_symmetry_space_group_name_H-M 'C 1 2/m 1'
_symmetry_Int_Tables_number 12
loop_
_symmetry_equiv_pos_as_xyz
'x,y,z'
'-x,-y,-z'
'-x,y,-z'
'x,-y,z'
'x+1/2,y+1/2,z'
'-x+1/2,-y+1/2,-z'
'-x+1/2,y+1/2,-z'
'x+1/2,-y+1/2,z'
loop_
_atom_site_label
_atom_site_type_symbol
_atom_site_fract_x
_atom_site_fract_y
_atom_site_fract_z
Cs1 Cs 0.0000 0.0000 0.0000
Cs2 Cs 0.1329 0.5000 0.8251
Cs3 Cs 0.1899 0.5000 0.5933
Hg1 Hg 0.1065 0.5000 0.2731
Au1 Au 0.0000 0.0000 0.5000
Au2 Au 0.0545 0.0000 0.3450
Au3 Au 0.1912 0.5000 0.1393

---

No. 2
# Cs3HgAu2 | Alexandria | PBE | relaxed
# - Total moment: 0.00 μB/atom
# - Formation energy from the elements: -1.8 eV/f.u.
# - ρ: 6.01 Mg/m³
# - Crystal system: orthorhombic
# - Excess energy over the best structure of this formula in the dataset: 0.000 eV/atom
data_Cs3HgAu2
_cell_length_a 14.3384
_cell_length_b 5.1793
_cell_length_c 14.7810
_cell_angle_alpha 90.00
_cell_angle_beta 90.00
_cell_angle_gamma 90.00
_symmetry_space_group_name_H-M 'P n m a'
_symmetry_Int_Tables_number 62
loop_
_symmetry_equiv_pos_as_xyz
'x,y,z'
'-x,-y,-z'
'-x+1/2,-y,z+1/2'
'x+1/2,y,-z+1/2'
'x+1/2,-y+1/2,-z+1/2'
'-x+1/2,y+1/2,z+1/2'
'-x,y+1/2,-z'
'x,-y+1/2,z'
loop_
_atom_site_label
_atom_site_type_symbol
_atom_site_fract_x
_atom_site_fract_y
_atom_site_fract_z
Cs1 Cs 0.0590 0.2500 0.1217
Cs2 Cs 0.1245 0.7500 0.5569
Cs3 Cs 0.1956 0.2500 0.8036
Hg1 Hg 0.1291 0.2500 0.3684
Au1 Au 0.0367 0.7500 0.3179
Au2 Au 0.1879 0.7500 0.9792

---

No. 3
# Cs2Hg5Au2 | Alexandria | PBE | relaxed
# - Total moment: 0.00 μB/atom
# - Formation energy from the elements: -1.9 eV/f.u.
# - ρ: 8.12 Mg/m³
# - Crystal system: monoclinic
# - Excess energy over the best structure of this formula in the dataset: 0.000 eV/atom
data_Cs2Hg5Au2
_cell_length_a 12.1417
_cell_length_b 5.3032
_cell_length_c 10.6474
_cell_angle_alpha 90.00
_cell_angle_beta 97.18
_cell_angle_gamma 90.00
_symmetry_space_group_name_H-M 'C 1 2/m 1'
_symmetry_Int_Tables_number 12
loop_
_symmetry_equiv_pos_as_xyz
'x,y,z'
'-x,-y,-z'
'-x,y,-z'
'x,-y,z'
'x+1/2,y+1/2,z'
'-x+1/2,-y+1/2,-z'
'-x+1/2,y+1/2,-z'
'x+1/2,-y+1/2,z'
loop_
_atom_site_label
_atom_site_type_symbol
_atom_site_fract_x
_atom_site_fract_y
_atom_site_fract_z
Cs1 Cs 0.0534 0.0000 0.2783
Hg1 Hg 0.0000 0.5000 0.0000
Hg2 Hg 0.1401 0.5000 0.5600
Hg3 Hg 0.2491 0.5000 0.1288
Au1 Au 0.1673 0.5000 0.8359

---

No. 4
# Cs2Hg2Au | Alexandria | PBE | relaxed
# - Total moment: 0.00 μB/atom
# - Formation energy from the elements: -1.3 eV/f.u.
# - ρ: 6.66 Mg/m³
# - Crystal system: tetragonal
# - Excess energy over the best structure of this formula in the dataset: 0.035 eV/atom
data_Cs2Hg2Au
_cell_length_a 4.4947
_cell_length_b 4.4947
_cell_length_c 21.3186
_cell_angle_alpha 90.00
_cell_angle_beta 90.00
_cell_angle_gamma 90.00
_symmetry_space_group_name_H-M 'I 4/m m m'
_symmetry_Int_Tables_number 139
_symmetry_space_group_name_Hall '-I 4 2'
loop_
_atom_site_label
_atom_site_type_symbol
_atom_site_fract_x
_atom_site_fract_y
_atom_site_fract_z
Cs1 Cs 0.0000 0.0000 0.0984
Hg1 Hg 0.0000 0.5000 0.2500
Au1 Au 0.0000 0.0000 0.5000

---

No. 5
# Cs2HgAu | Alexandria | PBE | relaxed
# - Total moment: 0.00 μB/atom
# - Formation energy from the elements: -0.5 eV/f.u.
# - ρ: 4.15 Mg/m³
# - Crystal system: trigonal
data_Cs2HgAu
_cell_length_a 5.0518
_cell_length_b 5.0518
_cell_length_c 35.9969
_cell_angle_alpha 90.00
_cell_angle_beta 90.00
_cell_angle_gamma 120.00
_symmetry_space_group_name_H-M 'R -3 m'
_symmetry_Int_Tables_number 166
_symmetry_space_group_name_Hall '-R 3 2"'
loop_
_atom_site_label
_atom_site_type_symbol
_atom_site_fract_x
_atom_site_fract_y
_atom_site_fract_z
Cs1 Cs 0.0000 0.0000 0.1092
Hg1 Hg 0.0000 0.0000 0.0000
Au1 Au 0.0000 0.0000 0.5000

---

No. 6
# Cs12Hg5Au | Alexandria | PBE | relaxed
# - Total moment: 0.00 μB/atom
# - Formation energy from the elements: -2.7 eV/f.u.
# - ρ: 3.51 Mg/m³
# - Crystal system: monoclinic
data_Cs12Hg5Au
_cell_length_a 9.4551
_cell_length_b 16.5054
_cell_length_c 17.2120
_cell_angle_alpha 90.00
_cell_angle_beta 100.24
_cell_angle_gamma 90.00
_symmetry_space_group_name_H-M 'C 1 2/m 1'
_symmetry_Int_Tables_number 12
loop_
_symmetry_equiv_pos_as_xyz
'x,y,z'
'-x,-y,-z'
'-x,y,-z'
'x,-y,z'
'x+1/2,y+1/2,z'
'-x+1/2,-y+1/2,-z'
'-x+1/2,y+1/2,-z'
'x+1/2,-y+1/2,z'
loop_
_atom_site_label
_atom_site_type_symbol
_atom_site_fract_x
_atom_site_fract_y
_atom_site_fract_z
Cs1 Cs 0.1221 0.0000 0.3758
Cs2 Cs 0.1232 0.3347 0.3663
Cs3 Cs 0.1936 0.1557 0.1227
Cs4 Cs 0.2257 0.5000 0.1213
Hg1 Hg 0.0000 0.1725 0.5000
Hg2 Hg 0.0000 0.3325 0.0000
Hg3 Hg 0.0000 0.5000 0.5000
Au1 Au 0.0000 0.0000 0.0000

---

No. 7
# Cs12HgAu6 | Alexandria | PBE | relaxed
# - Total moment: 0.00 μB/atom
# - Formation energy from the elements: -4.6 eV/f.u.
# - ρ: 4.40 Mg/m³
# - Crystal system: cubic
data_Cs12HgAu6
_cell_length_a 13.0955
_cell_length_b 13.0955
_cell_length_c 13.0955
_cell_angle_alpha 90.00
_cell_angle_beta 90.00
_cell_angle_gamma 90.00
_symmetry_space_group_name_H-M 'I m -3'
_symmetry_Int_Tables_number 204
_symmetry_space_group_name_Hall '-I 2 2 3'
loop_
_atom_site_label
_atom_site_type_symbol
_atom_site_fract_x
_atom_site_fract_y
_atom_site_fract_z
Cs1 Cs 0.0000 0.3168 0.1795
Hg1 Hg 0.0000 0.0000 0.0000
Au1 Au 0.0000 0.1110 0.5000

---

No. 8
# Cs2Hg5Au5 | Alexandria | PBE | relaxed
# - Total moment: 0.00 μB/atom
# - Formation energy from the elements: -1.4 eV/f.u.
# - ρ: 10.99 Mg/m³
# - Crystal system: orthorhombic
data_Cs2Hg5Au5
_cell_length_a 4.2200
_cell_length_b 6.7308
_cell_length_c 11.9874
_cell_angle_alpha 90.00
_cell_angle_beta 90.00
_cell_angle_gamma 90.00
_symmetry_space_group_name_H-M 'P m m m'
_symmetry_Int_Tables_number 47
loop_
_symmetry_equiv_pos_as_xyz
'x,y,z'
'-x,-y,-z'
'-x,-y,z'
'x,y,-z'
'x,-y,-z'
'-x,y,z'
'-x,y,-z'
'x,-y,z'
loop_
_atom_site_label
_atom_site_type_symbol
_atom_site_fract_x
_atom_site_fract_y
_atom_site_fract_z
Cs1 Cs 0.0000 0.0000 0.0000
Cs2 Cs 0.0000 0.5000 0.5000
Hg1 Hg 0.0000 0.0000 0.3088
Hg2 Hg 0.0000 0.5000 0.1587
Hg3 Hg 0.5000 0.0000 0.5000
Au1 Au 0.5000 0.2699 0.2547
Au2 Au 0.5000 0.5000 0.0000

---

> ρ of number 6 (Cs12Hg5Au)?

3.51 Mg/m³